1.
Material: Li2ZnCd
Method: DFT, PBE
State: relaxed

## Properties
Total moment (Bohr magnetons per cell): 0.0
DFT formation energy (eV/atom): -0.108

a b c (Å): 2.982 2.982 9.387
angles (deg): 80.86 80.86 60.00
Sites, in units of the cell vectors:
Li: 0.078 0.078 0.766
Li: 0.255 0.255 0.234
Zn: 0.666 0.666 0.001
Cd: 0.500 0.500 0.499

2.
Material: Li2ZnCd2
Method: DFT, PBE
State: relaxed

## Properties
Total moment (Bohr magnetons per cell): 0.0
DFT formation energy (eV/atom): -0.083
Excess energy over the best structure of this formula in the dataset (eV/atom): 0.092

a b c (Å): 7.345 7.345 3.330
angles (deg): 90.00 90.00 90.00
Sites, in units of the cell vectors:
Zn: 0.000 0.000 0.000
Zn: 0.500 0.500 0.000
Li: 0.359 0.859 0.000
Li: 0.859 0.641 0.000
Li: 0.641 0.141 0.000
Li: 0.141 0.359 0.000
Cd: 0.156 0.656 0.500
Cd: 0.656 0.844 0.500
Cd: 0.844 0.344 0.500
Cd: 0.344 0.156 0.500

3.
Material: Li2ZnCd5
Method: DFT, PBE
State: relaxed

## Properties
Total moment (Bohr magnetons per cell): 0.0
DFT formation energy (eV/atom): -0.090
Excess energy over the best structure of this formula in the dataset (eV/atom): 0.045

a b c (Å): 4.321 7.223 11.262
angles (deg): 90.00 90.00 107.40
Sites, in units of the cell vectors:
Li: 0.750 0.500 0.408
Li: 0.750 0.500 0.092
Li: 0.250 0.500 0.592
Li: 0.250 0.500 0.908
Zn: 0.768 0.536 0.750
Zn: 0.232 0.464 0.250
Cd: 0.913 0.825 0.929
Cd: 0.913 0.825 0.571
Cd: 0.404 0.808 0.385
Cd: 0.404 0.808 0.115
Cd: 0.589 0.179 0.250
Cd: 0.411 0.821 0.750
Cd: 0.596 0.192 0.615
Cd: 0.596 0.192 0.885
Cd: 0.087 0.175 0.071
Cd: 0.087 0.175 0.429

4.
Material: LiZn6Cd
Method: DFT, PBE
State: relaxed

## Properties
Total moment (Bohr magnetons per cell): 0.0
DFT formation energy (eV/atom): 0.032
Excess energy over the best structure of this formula in the dataset (eV/atom): 0.087

a b c (Å): 5.092 5.092 5.092
angles (deg): 90.00 90.00 90.00
Sites, in units of the cell vectors:
Li: 0.500 0.500 0.500
Zn: 0.500 0.743 0.000
Zn: 0.743 0.000 0.500
Zn: 0.000 0.500 0.257
Zn: 0.257 0.000 0.500
Zn: 0.500 0.257 0.000
Zn: 0.000 0.500 0.743
Cd: 0.000 0.000 0.000

5.
Material: LiZn2Cd8
Method: DFT, PBE
State: relaxed

## Properties
Total moment (Bohr magnetons per cell): 0.0
DFT formation energy (eV/atom): 0.011

a b c (Å): 4.984 7.587 7.587
angles (deg): 119.35 99.49 99.49
Sites, in units of the cell vectors:
Li: 0.500 0.000 0.000
Zn: 0.000 0.307 0.693
Zn: 0.000 0.693 0.307
Cd: 0.852 0.910 0.678
Cd: 0.852 0.678 0.910
Cd: 0.300 0.619 0.619
Cd: 0.500 0.778 0.222
Cd: 0.500 0.222 0.778
Cd: 0.700 0.381 0.381
Cd: 0.148 0.322 0.090
Cd: 0.148 0.090 0.322

6.
Material: LiZnCd2
Method: DFT, PBE
State: relaxed

## Properties
Total moment (Bohr magnetons per cell): 0.0
DFT formation energy (eV/atom): -0.118

a b c (Å): 6.690 6.690 6.690
angles (deg): 90.00 90.00 90.00
Sites, in units of the cell vectors:
Cd: 0.000 0.000 0.000
Cd: 0.500 0.500 0.000
Cd: 0.500 0.000 0.500
Cd: 0.000 0.500 0.500
Cd: 0.750 0.250 0.250
Cd: 0.250 0.750 0.250
Cd: 0.250 0.250 0.750
Cd: 0.750 0.750 0.750
Li: 0.500 0.000 0.000
Li: 0.000 0.500 0.000
Li: 0.000 0.000 0.500
Li: 0.500 0.500 0.500
Zn: 0.250 0.250 0.250
Zn: 0.750 0.750 0.250
Zn: 0.750 0.250 0.750
Zn: 0.250 0.750 0.750

7.
Material: Li3Zn2Cd2
Method: DFT, PBE
State: relaxed

## Properties
Total moment (Bohr magnetons per cell): 0.0
DFT formation energy (eV/atom): -0.143

a b c (Å): 2.849 4.529 9.683
angles (deg): 103.15 90.00 90.00
Sites, in units of the cell vectors:
Li: 0.000 0.288 0.577
Li: 0.000 0.000 0.000
Li: 0.000 0.712 0.423
Zn: 0.000 0.431 0.860
Zn: 0.000 0.569 0.140
Cd: 0.500 0.143 0.287
Cd: 0.500 0.857 0.713

8.
Material: Li5ZnCd
Method: DFT, PBE
State: relaxed

## Properties
Total moment (Bohr magnetons per cell): 0.0
DFT formation energy (eV/atom): -0.066
Excess energy over the best structure of this formula in the dataset (eV/atom): 0.010

a b c (Å): 4.610 4.610 6.306
angles (deg): 90.00 90.00 90.10
Sites, in units of the cell vectors:
Li: 0.500 0.000 0.227
Li: 0.000 0.500 0.227
Li: 0.000 0.000 0.500
Li: 0.000 0.500 0.773
Li: 0.500 0.000 0.773
Zn: 0.000 0.000 0.000
Cd: 0.500 0.500 0.500

9.
Material: LiZn8Cd3
Method: DFT, PBE
State: relaxed

## Properties
Total moment (Bohr magnetons per cell): 0.0
DFT formation energy (eV/atom): -0.032

a b c (Å): 5.196 5.196 8.647
angles (deg): 90.00 90.00 120.00
Sites, in units of the cell vectors:
Li: 0.000 0.000 0.556
Zn: 0.333 0.667 0.503
Zn: 0.333 0.667 0.004
Zn: 0.502 0.004 0.749
Zn: 0.502 0.498 0.749
Zn: 0.996 0.498 0.749
Zn: 0.163 0.327 0.254
Zn: 0.163 0.837 0.254
Zn: 0.673 0.837 0.254
Cd: 0.667 0.333 0.452
Cd: 0.667 0.333 0.066
Cd: 0.000 0.000 0.914

10.
Material: LiZnCd2
Method: DFT, PBE
State: relaxed

## Properties
Total moment (Bohr magnetons per cell): 0.0
DFT formation energy (eV/atom): -0.093

a b c (Å): 5.043 5.043 5.244
angles (deg): 80.40 80.40 35.09
Sites, in units of the cell vectors:
Zn: 0.245 0.245 0.253
Li: 0.506 0.506 0.498
Cd: 0.995 0.995 0.022
Cd: 0.755 0.755 0.727

11.
Material: Li5Zn3Cd3
Method: DFT, PBE
State: relaxed

## Properties
Total moment (Bohr magnetons per cell): 0.0
DFT formation energy (eV/atom): -0.054

a b c (Å): 2.907 9.265 9.265
angles (deg): 120.00 90.00 90.00
Sites, in units of the cell vectors:
Li: 0.500 0.667 0.333
Li: 0.500 0.333 0.667
Li: 0.500 0.332 0.000
Li: 0.500 0.668 0.668
Li: 0.500 0.000 0.332
Zn: 0.500 0.842 0.000
Zn: 0.500 0.158 0.158
Zn: 0.500 0.000 0.842
Cd: 0.000 0.591 0.000
Cd: 0.000 0.000 0.591
Cd: 0.000 0.409 0.409

12.
Material: Li3Zn4Cd
Method: DFT, PBE
State: relaxed

## Properties
Total moment (Bohr magnetons per cell): 0.0
DFT formation energy (eV/atom): -0.158
Excess energy over the best structure of this formula in the dataset (eV/atom): 0.000

a b c (Å): 3.113 4.450 9.368
angles (deg): 76.51 99.92 89.97
Sites, in units of the cell vectors:
Zn: 0.117 0.383 0.237
Zn: 0.883 0.617 0.763
Zn: 0.736 0.263 0.474
Zn: 0.264 0.737 0.526
Cd: 0.000 0.000 0.000
Li: 0.635 0.866 0.269
Li: 0.365 0.134 0.731
Li: 0.500 0.500 0.000

13.
Material: Li8ZnCd3
Method: DFT, PBE
State: relaxed

## Properties
Total moment (Bohr magnetons per cell): 0.0
DFT formation energy (eV/atom): 0.052
Excess energy over the best structure of this formula in the dataset (eV/atom): 0.227

a b c (Å): 7.084 7.084 7.084
angles (deg): 92.98 118.30 118.30
Sites, in units of the cell vectors:
Li: 0.483 0.221 0.221
Li: 0.517 0.738 0.738
Li: 0.000 0.779 0.262
Li: 0.000 0.262 0.779
Li: 0.262 0.368 0.368
Li: 0.738 0.106 0.106
Li: 0.000 0.632 0.894
Li: 0.000 0.894 0.632
Zn: 0.000 0.000 0.000
Cd: 0.500 0.750 0.250
Cd: 0.500 0.250 0.750
Cd: 0.000 0.500 0.500

14.
Material: Li5ZnCd2
Method: DFT, PBE
State: relaxed

## Properties
Total moment (Bohr magnetons per cell): 0.0
DFT formation energy (eV/atom): -0.177

a b c (Å): 4.548 4.548 7.417
angles (deg): 107.86 107.86 90.00
Sites, in units of the cell vectors:
Li: 0.500 0.500 0.000
Li: 0.880 0.380 0.760
Li: 0.380 0.880 0.760
Li: 0.120 0.620 0.240
Li: 0.620 0.120 0.240
Zn: 0.000 0.000 0.000
Cd: 0.751 0.751 0.502
Cd: 0.249 0.249 0.498

15.
Material: Li4ZnCd2
Method: DFT, PBE
State: relaxed

## Properties
Total moment (Bohr magnetons per cell): 0.0
DFT formation energy (eV/atom): -0.177
Excess energy over the best structure of this formula in the dataset (eV/atom): 0.000

a b c (Å): 4.635 4.635 7.206
angles (deg): 71.24 71.24 60.00
Sites, in units of the cell vectors:
Li: 0.864 0.864 0.408
Li: 0.136 0.136 0.592
Li: 0.579 0.579 0.262
Li: 0.421 0.421 0.738
Zn: 0.000 0.000 0.000
Cd: 0.721 0.721 0.838
Cd: 0.279 0.279 0.162

16.
Material: Li7Zn3Cd
Method: DFT, PBE
State: relaxed

## Properties
Total moment (Bohr magnetons per cell): 0.0
DFT formation energy (eV/atom): -0.032
Excess energy over the best structure of this formula in the dataset (eV/atom): 0.064

a b c (Å): 4.904 6.822 6.822
angles (deg): 89.89 110.04 110.04
Sites, in units of the cell vectors:
Li: 0.165 0.173 0.173
Li: 0.328 0.054 0.602
Li: 0.672 0.398 0.946
Li: 0.328 0.602 0.054
Li: 0.000 0.500 0.500
Li: 0.672 0.946 0.398
Li: 0.835 0.827 0.827
Zn: 0.000 0.772 0.228
Zn: 0.500 0.000 0.000
Zn: 0.000 0.228 0.772
Cd: 0.500 0.500 0.500

17.
Material: Li3Zn3Cd
Method: DFT, PBE
State: relaxed

## Properties
Total moment (Bohr magnetons per cell): 0.0
DFT formation energy (eV/atom): -0.077

a b c (Å): 7.813 7.813 7.813
angles (deg): 90.00 90.00 90.00
Sites, in units of the cell vectors:
Li: 0.682 0.630 0.046
Li: 0.870 0.954 0.182
Li: 0.046 0.682 0.630
Li: 0.130 0.454 0.318
Li: 0.318 0.130 0.454
Li: 0.182 0.870 0.954
Li: 0.954 0.182 0.870
Li: 0.370 0.546 0.818
Li: 0.454 0.318 0.130
Li: 0.630 0.046 0.682
Li: 0.818 0.370 0.546
Li: 0.546 0.818 0.370
Zn: 0.832 0.332 0.168
Zn: 0.857 0.857 0.857
Zn: 0.852 0.648 0.352
Zn: 0.168 0.832 0.332
Zn: 0.148 0.148 0.148
Zn: 0.352 0.852 0.648
Zn: 0.143 0.357 0.643
Zn: 0.332 0.168 0.832
Zn: 0.648 0.352 0.852
Zn: 0.668 0.668 0.668
Zn: 0.643 0.143 0.357
Zn: 0.357 0.643 0.143
Cd: 0.037 0.537 0.963
Cd: 0.963 0.037 0.537
Cd: 0.463 0.463 0.463
Cd: 0.537 0.963 0.037

18.
Material: Li3Zn2Cd3
Method: DFT, PBE
State: relaxed

## Properties
Total moment (Bohr magnetons per cell): 0.0
DFT formation energy (eV/atom): -0.149
Excess energy over the best structure of this formula in the dataset (eV/atom): 0.028

a b c (Å): 5.223 5.223 5.223
angles (deg): 91.22 91.22 88.78
Sites, in units of the cell vectors:
Li: 0.245 0.755 0.500
Li: 0.500 0.245 0.245
Li: 0.755 0.500 0.755
Zn: 0.255 0.255 0.745
Zn: 0.745 0.745 0.255
Cd: 0.255 0.745 0.000
Cd: 0.000 0.255 0.255
Cd: 0.745 0.000 0.745

19.
Material: LiZnCd2
Method: DFT, PBE
State: relaxed

## Properties
Total moment (Bohr magnetons per cell): 0.0
DFT formation energy (eV/atom): -0.022

a b c (Å): 10.116 10.116 10.116
angles (deg): 16.99 16.99 16.99
Sites, in units of the cell vectors:
Cd: 0.996 0.996 0.996
Cd: 0.504 0.504 0.504
Li: 0.250 0.250 0.250
Zn: 0.750 0.750 0.750

20.
Material: Li2ZnCd
Method: DFT, PBE
State: relaxed

## Properties
Total moment (Bohr magnetons per cell): 0.0
DFT formation energy (eV/atom): -0.216

a b c (Å): 4.601 4.601 4.601
angles (deg): 121.48 121.48 87.46
Sites, in units of the cell vectors:
Zn: 0.500 0.500 0.000
Li: 0.000 0.000 0.000
Li: 0.250 0.750 0.500
Cd: 0.750 0.250 0.500

| no. | E_tot (eV per atom) |
| --- | --- |
| 1 | -1.612 |
| 2 | -1.469 |
| 3 | -1.300 |
| 4 | -1.277 |
| 5 | -1.060 |
| 6 | -1.372 |
| 7 | -1.589 |
| 8 | -1.746 |
| 9 | -1.270 |
| 10 | -1.347 |
| 11 | -1.521 |
| 12 | -1.627 |
| 13 | -1.559 |
| 14 | -1.761 |
| 15 | -1.714 |
| 16 | -1.680 |
| 17 | -1.574 |
| 18 | -1.528 |
| 19 | -1.277 |
| 20 | -1.720 |